An optimized crystal structure of Rb4Pa3AgSe8, computed with GGA-PBE.

Properties
raw formation energy = -1.202 eV/atom
space-group type = No. 166
mass density = 5.8 g/cm³

Cell lengths 8.497, 9.433, 8.501 Å; angles 116.79, 119.99, 90.00 degrees
Each line ends with the local moment (μB).
Element x y z (fractional)
Pa1 0.500 0.500 0.500  1.19
Se1 0.762 0.303 0.041  -0.03
Pa2 0.500 0.500 0.000  1.19
Rb1 0.500 0.000 0.500  0.00
Se2 0.238 0.697 0.959  -0.03
Pa3 0.000 0.500 0.500  1.19
Rb2 0.000 0.000 0.500  0.00
Se3 0.238 0.698 0.476  -0.03
Se4 0.278 0.303 0.041  -0.03
Rb3 0.500 0.000 0.000  0.00
Se5 0.762 0.302 0.524  -0.03
Rb4 0.000 0.000 0.000  0.00
Ag1 0.000 0.500 0.000  0.00
Se6 0.722 0.697 0.959  -0.03
Se7 0.733 0.699 0.466  -0.03
Se8 0.267 0.301 0.534  -0.03